Below is Nd8Mg3Ru2 after structural relaxation, with properties calculated at the PBE level.

```
Nd8Mg3Ru2
1.0
10.509 -3.594 0.000
10.509 3.594 0.000
-1.280 0.000 5.049
Nd Mg Ru
8 3 2
Cartesian
6.200 1.964 1.581
1.582 0.000 0.410
6.202 0.000 4.265
13.538 1.964 3.467
6.200 -1.964 1.581
13.536 0.000 0.784
18.157 0.000 4.639
13.538 -1.964 3.467
9.869 1.703 2.524
10.509 0.000 0.000
9.869 -1.703 2.524
4.144 0.000 1.063
15.594 0.000 3.986
```

Properties
Energy of formation ... -14 meV per atom
Total DFT energy (no corrections) ... -61.65 eV per cell